No. 1
Here is crystalline Er8TmSc3 at its relaxed geometry from the Alexandria database. Energies are from PBE.

abc: 7.452 7.452 9.132
angles: 114.08 114.08 90.00
Positions (direct):
Er 0.874 0.380 0.254
Er 0.380 0.380 0.254
Er 0.126 0.126 0.746
Er 0.620 0.126 0.746
Er 0.380 0.874 0.254
Er 0.874 0.874 0.254
Er 0.620 0.620 0.746
Er 0.126 0.620 0.746
Tm 0.000 0.000 0.000
Sc 0.250 0.750 0.500
Sc 0.500 0.500 0.000
Sc 0.750 0.250 0.500

Results
Size of the total moment (μB/cell): 0.0
Crystal system: tetragonal
Electronic total energy (eV per cell): -51.57
Energy of formation from the pure elements (meV/atom): 700.1



No. 2
Here is crystalline La2PuAs4Pt3 at its relaxed geometry from the Alexandria database. Energies are from PBE.

abc: 4.500 4.500 10.790
angles: 90.00 90.00 90.00
Positions (direct):
La 0.500 0.000 0.229
La 0.000 0.500 0.771
Pu 0.500 0.500 0.500
As 0.500 0.500 0.000
As 0.000 0.000 0.000
As 0.500 0.000 0.658
As 0.000 0.500 0.342
Pt 0.000 0.000 0.500
Pt 0.500 0.000 0.891
Pt 0.000 0.500 0.109

Results
Size of the total moment (μB/cell): 5.7
Crystal system: tetragonal
Electronic total energy (eV per cell): -70.13
Energy of formation from the pure elements (meV/atom): -922.0



No. 3
Here is crystalline Tm4Hg2Pd at its relaxed geometry from the Alexandria database. Energies are from PBE.

abc: 5.044 5.044 8.749
angles: 73.24 73.24 60.00
Positions (direct):
Tm 0.878 0.878 0.366
Tm 0.122 0.122 0.634
Tm 0.627 0.627 0.118
Tm 0.373 0.373 0.882
Hg 0.755 0.755 0.734
Hg 0.245 0.245 0.266
Pd 0.000 0.000 0.000

Results
Size of the total moment (μB/cell): 0.0
Crystal system: trigonal
Electronic total energy (eV per cell): -26.71
Energy of formation from the pure elements (meV/atom): -432.1



No. 4
Here is crystalline Pm2VPb at its relaxed geometry from the Alexandria database. Energies are from PBE.

abc: 3.391 3.391 11.591
angles: 81.59 81.59 60.00
Positions (direct):
Pb 0.500 0.500 0.500
V 0.000 0.000 0.000
Pm 0.084 0.084 0.748
Pm 0.916 0.916 0.252

Results
Size of the total moment (μB/cell): 3.3
Crystal system: trigonal
Electronic total energy (eV per cell): -20.37
Energy of formation from the pure elements (meV/atom): 488.8